No. 1
! AlCu, optimized geometry, DFT PBE; values from VASP
! Calculated volume (Å³/f.u.): 30.0
! Space group: R-3m
! ΔE_f (meV/atom): -102
! DOS at the Fermi energy (states/eV/atom): 0.212
&SYSTEM
  ibrav = 0, nat = 4, ntyp = 2
/
ATOMIC_SPECIES
Al 26.98 Al.upf
Cu 63.55 Cu.upf
CELL_PARAMETERS angstrom
2.0285 1.1712 4.2113
-2.0285 1.1712 4.2113
0.0000 -2.3423 4.2113
ATOMIC_POSITIONS crystal
Al 0.1048 0.1048 0.1048
Al 0.8952 0.8952 0.8952
Cu 0.3038 0.3038 0.3038
Cu 0.6962 0.6962 0.6962

No. 2
! ZnSb2MoI, optimized geometry, DFT PBE; values from VASP
! Calculated volume (Å³/f.u.): 149.4
! Excess energy over the best structure of this formula in the dataset (meV per atom): 587.2
! Space group: P4/mmm
! DOS at the Fermi energy (states/eV/atom): 0.516
&SYSTEM
  ibrav = 0, nat = 5, ntyp = 4
/
ATOMIC_SPECIES
Zn 65.41 Zn.upf
Sb 121.76 Sb.upf
Mo 95.94 Mo.upf
I 126.90 I.upf
CELL_PARAMETERS angstrom
5.1395 0.0000 0.0000
0.0000 5.1395 0.0000
0.0000 0.0000 5.6543
ATOMIC_POSITIONS crystal
Zn 0.0000 0.0000 0.0000
Sb 0.0000 0.5000 0.0000
Sb 0.5000 0.0000 0.0000
Mo 0.5000 0.5000 0.5000
I 0.0000 0.0000 0.5000

No. 3
! PuSnRh4, optimized geometry, DFT PBE; values from VASP
! Calculated volume (Å³/f.u.): 104.8
! Excess energy over the best structure of this formula in the dataset (meV per atom): 0.0
! Space group: F-43m
! ΔE_f (meV/atom): -361
! DOS at the Fermi energy (states/eV/atom): 2.019
&SYSTEM
  ibrav = 0, nat = 6, ntyp = 3
/
ATOMIC_SPECIES
Pu 244.00 Pu.upf
Sn 118.71 Sn.upf
Rh 102.91 Rh.upf
CELL_PARAMETERS angstrom
0.0000 3.7423 3.7423
3.7423 0.0000 3.7423
3.7423 3.7423 0.0000
ATOMIC_POSITIONS crystal
Pu 0.0000 0.0000 0.0000
Sn 0.7500 0.7500 0.7500
Rh 0.3756 0.3756 0.3756
Rh 0.3756 0.3756 0.8731
Rh 0.3756 0.8731 0.3756
Rh 0.8731 0.3756 0.3756

No. 4
! Tb2SmCu9, optimized geometry, DFT PBE; values from VASP
! Calculated volume (Å³/f.u.): 194.4
! Space group: R-3m
! ΔE_f (meV/atom): -188
! DOS at the Fermi energy (states/eV/atom): 0.682
&SYSTEM
  ibrav = 0, nat = 12, ntyp = 3
/
ATOMIC_SPECIES
Tb 158.93 Tb.upf
Sm 150.36 Sm.upf
Cu 63.55 Cu.upf
CELL_PARAMETERS angstrom
2.5974 1.4996 8.3196
-2.5974 1.4996 8.3196
0.0000 -2.9993 8.3196
ATOMIC_POSITIONS crystal
Tb 0.1425 0.1425 0.1425
Tb 0.8575 0.8575 0.8575
Sm 0.0000 0.0000 0.0000
Cu 0.0833 0.5815 0.5815
Cu 0.3322 0.3322 0.3322
Cu 0.4185 0.4185 0.9167
Cu 0.4185 0.9167 0.4185
Cu 0.5000 0.5000 0.5000
Cu 0.5815 0.0833 0.5815
Cu 0.5815 0.5815 0.0833
Cu 0.6678 0.6678 0.6678
Cu 0.9167 0.4185 0.4185

No. 5
! PuFe2Co, optimized geometry, DFT PBE; values from VASP
! Calculated volume (Å³/f.u.): 51.8
! Space group: P4/mmm
! ΔE_f (meV/atom): 271
! DOS at the Fermi energy (states/eV/atom): 2.041
&SYSTEM
  ibrav = 0, nat = 4, ntyp = 3
/
ATOMIC_SPECIES
Pu 244.00 Pu.upf
Fe 55.84 Fe.upf
Co 58.93 Co.upf
CELL_PARAMETERS angstrom
2.5036 0.0000 0.0000
0.0000 2.5036 0.0000
0.0000 0.0000 8.2698
ATOMIC_POSITIONS crystal
Pu 0.0000 0.0000 0.0000
Fe 0.5000 0.5000 0.2905
Fe 0.5000 0.5000 0.7095
Co 0.0000 0.0000 0.5000

No. 6
! Th8CoTc3Te4, optimized geometry, DFT PBE; values from VASP
! DFT total energy (eV/atom): -7.522
! Calculated volume (Å³/f.u.): 460.9
! Space group: R-3m
! DOS at the Fermi energy (states/eV/atom): 0.708
&SYSTEM
  ibrav = 0, nat = 16, ntyp = 4
/
ATOMIC_SPECIES
Th 232.04 Th.upf
Co 58.93 Co.upf
Tc 98.00 Tc.upf
Te 127.60 Te.upf
CELL_PARAMETERS angstrom
4.1591 2.4013 7.6915
-4.1591 2.4013 7.6915
0.0000 -4.8026 7.6915
ATOMIC_POSITIONS crystal
Th 0.2340 0.2340 0.2340
Th 0.2337 0.7320 0.7320
Th 0.2680 0.2680 0.7663
Th 0.2680 0.7663 0.2680
Th 0.7320 0.2337 0.7320
Th 0.7320 0.7320 0.2337
Th 0.7663 0.2680 0.2680
Th 0.7660 0.7660 0.7660
Co 0.5000 0.5000 0.5000
Tc 0.0000 0.0000 0.5000
Tc 0.0000 0.5000 0.0000
Tc 0.5000 0.0000 0.0000
Te 0.0000 0.0000 0.0000
Te 0.0000 0.5000 0.5000
Te 0.5000 0.0000 0.5000
Te 0.5000 0.5000 0.0000